# 1
DFT (PBE) results for an optimized crystal structure of PmPr3Rh3.

offset from the most stable computed form = 0.150 eV per formula unit
formation enthalpy at 0 K = -4.0 eV/f.u.
symmetry = P-1 (2)
volume = 182.7 Å³/f.u.
DOS(E_F) = 0.737 states/eV per atom

abc: 6.8124 7.3048 7.4653
angles: 89.92 79.94 87.47
Last column: nearest neighbours and their distance in Å.
Sites, in units of the cell vectors:
Pm (0.2089, 0.1456, 0.2139)  5 Rh 2.82-3.15
Pm (0.7911, 0.8544, 0.7861)  5 Rh 2.82-3.15
Pr (0.1999, 0.6556, 0.3654)  4 Rh 2.86-3.06
Pr (0.2826, 0.5031, 0.8469)  6 Rh 2.97-3.24
Pr (0.3042, 0.0181, 0.7160)  4 Rh 2.89-3.06
Pr (0.6958, 0.9819, 0.2840)  4 Rh 2.89-3.06
Pr (0.7174, 0.4969, 0.1531)  6 Rh 2.97-3.24
Pr (0.8001, 0.3444, 0.6346)  4 Rh 2.86-3.06
Rh (0.0336, 0.8025, 0.0537)  2 Rh 2.81-3.03, 2 Pm 2.82-3.15, 3 Pr 2.89-2.97
Rh (0.4422, 0.3142, 0.4535)  1 Pm 2.90, 1 Rh 2.98, 6 Pr 2.99-3.24
Rh (0.4461, 0.8070, 0.0557)  2 Rh 2.81-3.02, 2 Pm 2.85-3.02, 4 Pr 2.86-3.07
Rh (0.5539, 0.1930, 0.9443)  2 Rh 2.81-3.02, 2 Pm 2.85-3.02, 4 Pr 2.86-3.07
Rh (0.5578, 0.6858, 0.5465)  1 Pm 2.90, 1 Rh 2.98, 6 Pr 2.99-3.24
Rh (0.9664, 0.1975, 0.9463)  2 Rh 2.81-3.03, 2 Pm 2.82-3.15, 3 Pr 2.89-2.97

# 2
DFT (PBE) results for an optimized crystal structure of PmPrRh.

offset from the most stable computed form = 0.128 eV per formula unit
formation enthalpy at 0 K = -1.3 eV/f.u.
symmetry = P2_1/c (14)
volume = 89.7 Å³/f.u.
DOS(E_F) = 0.953 states/eV per atom

abc: 7.0863 6.1344 10.6564
angles: 90.00 129.21 90.00
Last column: nearest neighbours and their distance in Å.
Sites, in units of the cell vectors:
Pm (0.1668, 0.1213, 0.3693)  3 Rh 2.82-2.95
Pm (0.1668, 0.3787, 0.8693)  3 Rh 2.82-2.95
Pm (0.8332, 0.6213, 0.1307)  3 Rh 2.82-2.95
Pm (0.8332, 0.8787, 0.6307)  3 Rh 2.82-2.95
Pr (0.3137, 0.6360, 0.6188)  3 Rh 2.88-3.08
Pr (0.3137, 0.8640, 0.1188)  3 Rh 2.88-3.08
Pr (0.6863, 0.1360, 0.8812)  3 Rh 2.88-3.08
Pr (0.6863, 0.3640, 0.3812)  3 Rh 2.88-3.08
Rh (0.1658, 0.1700, 0.6329)  3 Pm 2.82-2.95, 3 Pr 2.88-3.08, 1 Rh 3.08
Rh (0.1658, 0.3300, 0.1329)  3 Pm 2.82-2.95, 3 Pr 2.88-3.08, 1 Rh 3.08
Rh (0.8342, 0.6700, 0.8671)  3 Pm 2.82-2.95, 3 Pr 2.88-3.08, 1 Rh 3.08
Rh (0.8342, 0.8300, 0.3671)  3 Pm 2.82-2.95, 3 Pr 2.88-3.08, 1 Rh 3.08

# 3
DFT (PBE) results for an optimized crystal structure of PmPr3Rh.

offset from the most stable computed form = 0.869 eV per formula unit
formation enthalpy at 0 K = -0.6 eV/f.u.
symmetry = Pm-3m (221)
volume = 178.4 Å³/f.u.
DOS(E_F) = 1.719 states/eV per atom

abc: 5.6300 5.6300 5.6300
angles: 90.00 90.00 90.00
Last column: nearest neighbours and their distance in Å.
Sites, in units of the cell vectors:
Pm (0.0000, 0.0000, 0.0000)  12 Pr 3.98
Pr (0.0000, 0.5000, 0.5000)  2 Rh 2.81
Pr (0.5000, 0.0000, 0.5000)  2 Rh 2.81
Pr (0.5000, 0.5000, 0.0000)  2 Rh 2.81
Rh (0.5000, 0.5000, 0.5000)  6 Pr 2.81

Repeat the first record exactly.
DFT (PBE) results for an optimized crystal structure of PmPr3Rh3.

offset from the most stable computed form = 0.150 eV per formula unit
formation enthalpy at 0 K = -4.0 eV/f.u.
symmetry = P-1 (2)
volume = 182.7 Å³/f.u.
DOS(E_F) = 0.737 states/eV per atom

abc: 6.8124 7.3048 7.4653
angles: 89.92 79.94 87.47
Last column: nearest neighbours and their distance in Å.
Sites, in units of the cell vectors:
Pm (0.2089, 0.1456, 0.2139)  5 Rh 2.82-3.15
Pm (0.7911, 0.8544, 0.7861)  5 Rh 2.82-3.15
Pr (0.1999, 0.6556, 0.3654)  4 Rh 2.86-3.06
Pr (0.2826, 0.5031, 0.8469)  6 Rh 2.97-3.24
Pr (0.3042, 0.0181, 0.7160)  4 Rh 2.89-3.06
Pr (0.6958, 0.9819, 0.2840)  4 Rh 2.89-3.06
Pr (0.7174, 0.4969, 0.1531)  6 Rh 2.97-3.24
Pr (0.8001, 0.3444, 0.6346)  4 Rh 2.86-3.06
Rh (0.0336, 0.8025, 0.0537)  2 Rh 2.81-3.03, 2 Pm 2.82-3.15, 3 Pr 2.89-2.97
Rh (0.4422, 0.3142, 0.4535)  1 Pm 2.90, 1 Rh 2.98, 6 Pr 2.99-3.24
Rh (0.4461, 0.8070, 0.0557)  2 Rh 2.81-3.02, 2 Pm 2.85-3.02, 4 Pr 2.86-3.07
Rh (0.5539, 0.1930, 0.9443)  2 Rh 2.81-3.02, 2 Pm 2.85-3.02, 4 Pr 2.86-3.07
Rh (0.5578, 0.6858, 0.5465)  1 Pm 2.90, 1 Rh 2.98, 6 Pr 2.99-3.24
Rh (0.9664, 0.1975, 0.9463)  2 Rh 2.81-3.03, 2 Pm 2.82-3.15, 3 Pr 2.89-2.97